VASP calculation (PBE-GGA) on a relaxed structure of Rb3CrSe3.

a = 7.269 Å, b = 10.820 Å, c = 13.625 Å
α = 90.00°, β = 90.00°, γ = 109.63°
Element x y z (fractional)
Cr1 0.578 0.156 0.500
Se1 0.495 0.299 0.614
Rb1 0.518 0.357 0.872
Se2 0.995 0.299 0.886
Rb2 0.982 0.643 0.372
Cr2 0.078 0.156 0.000
Rb3 0.839 0.357 0.128
Se3 0.005 0.701 0.114
Rb4 0.661 0.643 0.628
Cr3 0.422 0.844 0.500
Se4 0.708 0.000 0.579
Se5 0.304 0.299 0.114
Se6 0.696 0.701 0.886
Rb5 0.646 0.000 0.829
Rb6 0.482 0.643 0.128
Rb7 0.161 0.643 0.872
Rb8 0.146 0.000 0.671
Rb9 0.354 0.000 0.171
Se7 0.208 0.000 0.921
Se8 0.505 0.701 0.386
Se9 0.292 0.000 0.421
Rb10 0.018 0.357 0.628
Se10 0.196 0.701 0.614
Rb11 0.339 0.357 0.372
Rb12 0.854 0.000 0.329
Cr4 0.922 0.844 0.000
Se11 0.804 0.299 0.386
Se12 0.792 0.000 0.079

E_form (uncorrected) = -922.8 meV/atom
Fermi-level density of states = 2.00 states/eV/cell